## MgScCl (PBE)

Data for a geometry-optimized MgScCl structure.

## Properties
* space-group type: No. 42
* total energy: -3.932 eV/atom
* uncorrected formation energy: -0.674 eV per atom
* magnetization: 0.00 μB/f.u.

abc: 3.542 5.542 14.093
angles: 90.00 90.00 90.00
Fractional positions:
Mg  0.000  0.000  0.000
Mg  0.000  0.500  0.500
Mg  0.500  0.000  0.500
Mg  0.500  0.500  0.000
Sc  0.000  0.000  0.673
Sc  0.000  0.500  0.173
Sc  0.500  0.000  0.173
Sc  0.500  0.500  0.673
Cl  0.000  0.000  0.309
Cl  0.000  0.500  0.809
Cl  0.500  0.000  0.809
Cl  0.500  0.500  0.309